(1)
TaReW | PBE-GGA | optimized geometry

Cell lengths 4.5159, 4.5159, 5.5480 Å; angles 90.00, 90.00, 120.00 degrees
Last column: nearest neighbours and their distance in Å.
Space group P3m1 (No. 156)
Asymmetric unit:
Ta (0.0000, 0.0000, 0.0000) [1 per cell]  2 W 2.76-2.79, 6 Re 2.77
Ta (0.3333, 0.6667, 0.6691) [1 per cell]  5 Re 2.76-2.78, 3 W 2.78
Re (0.3333, 0.6667, 0.1701) [1 per cell]  3 W 2.76, 5 Ta 2.77-2.78
Re (0.6667, 0.3333, 0.8339) [1 per cell]  6 Ta 2.76-2.77, 2 W 2.77-2.78
W (0.0000, 0.0000, 0.4970) [1 per cell]  5 Ta 2.76-2.79, 3 W 2.76
W (0.6667, 0.3333, 0.3336) [1 per cell]  3 W 2.76, 5 Re 2.76-2.78

ΔE_f = -224 meV per atom
DOS at the Fermi energy = 3.7 states/eV/cell
Uncorrected energy = -12.6416 eV/atom
Polymorph energy (0 for the lowest one) = 0.0 meV/atom

---

(2)
Zr2CdOs | PBE-GGA | optimized geometry

Cell lengths 3.4237, 4.9236, 9.5589 Å; angles 90.00, 90.00, 90.00 degrees
Last column: nearest neighbours and their distance in Å.
Space group Cmm2 (No. 35)
Asymmetric unit:
Zr (0.0000, 0.0000, 0.0000) [2 per cell]  6 Zr 3.00-3.17, 2 Cd 3.11
Zr (0.0000, 0.5000, 0.2792) [2 per cell]  2 Os 2.62
Cd (0.0000, 0.5000, 0.7278) [2 per cell]  2 Os 2.87, 4 Cd 3.00, 2 Zr 3.11
Os (0.0000, 0.0000, 0.4869) [2 per cell]  2 Zr 2.62, 2 Cd 2.87

ΔE_f = 166 meV per atom
DOS at the Fermi energy = 7.5 states/eV/cell
Uncorrected energy = -7.1438 eV/atom

---

(3)
InIrOs | PBE-GGA | optimized geometry

Cell lengths 2.8643, 2.8643, 12.0122 Å; angles 90.00, 90.00, 90.00 degrees
Last column: nearest neighbours and their distance in Å.
Space group I4mm (No. 107)
Asymmetric unit:
In (0.0000, 0.0000, 0.0000) [2 per cell]  4 In 2.86, 4 Os 2.95, 4 Ir 2.97
Ir (0.0000, 0.0000, 0.6809) [2 per cell]  4 Os 2.64, 4 Ir 2.86
Os (0.0000, 0.0000, 0.3220) [2 per cell]  4 Ir 2.64, 4 Os 2.86, 4 In 2.95

ΔE_f = 210 meV per atom
DOS at the Fermi energy = 4.0 states/eV/cell
Uncorrected energy = -7.3994 eV/atom
Polymorph energy (0 for the lowest one) = 0.0 meV/atom

---

(4)
Sb2TeAsO | PBE-GGA | optimized geometry

Cell lengths 5.3229, 5.3229, 5.4082 Å; angles 90.00, 90.00, 90.00 degrees
Last column: nearest neighbours and their distance in Å.
Space group P4/mmm (No. 123)
Asymmetric unit:
Sb (0.0000, 0.5000, 0.0000) [2 per cell]  2 As 2.66
Te (0.0000, 0.0000, 0.5000) [1 per cell]  2 As 2.70
As (0.0000, 0.0000, 0.0000) [1 per cell]  4 Sb 2.66, 2 Te 2.70
O (0.5000, 0.5000, 0.5000) [1 per cell]  4 Te 3.76, 8 Sb 3.79

ΔE_f (raw) = 1.116 eV per atom
DOS at the Fermi energy = 11.1 states/eV/cell
Uncorrected energy = -3.0827 eV/atom
Polymorph energy (0 for the lowest one) = 893.0 meV/atom

---

(5)
Sm2ErPt3 | PBE-GGA | optimized geometry

Cell lengths 4.1289, 5.8103, 12.2955 Å; angles 90.00, 90.00, 90.00 degrees
Last column: nearest neighbours and their distance in Å.
Space group Immm (No. 71)
Asymmetric unit:
Sm (0.0000, 0.0000, 0.1681) [4 per cell]  6 Pt 2.91-2.95
Er (0.0000, 0.0000, 0.5000) [2 per cell]  6 Pt 2.86-2.91
Pt (0.0000, 0.5000, 0.1606) [4 per cell]  2 Er 2.86, 4 Sm 2.91-2.95
Pt (0.0000, 0.5000, 0.5000) [2 per cell]  2 Er 2.91, 4 Sm 2.92

ΔE_f = -1096 meV per atom
DOS at the Fermi energy = 8.3 states/eV/cell
Uncorrected energy = -6.4500 eV/atom

---

(6)
NbCoAsBr2 | PBE-GGA | optimized geometry

Cell lengths 5.1434, 5.1434, 5.1228 Å; angles 90.00, 90.00, 90.00 degrees
Last column: nearest neighbours and their distance in Å.
Space group P4/mmm (No. 123)
Asymmetric unit:
Nb (0.0000, 0.0000, 0.0000) [1 per cell]  2 As 2.56, 4 Br 2.57
Co (0.5000, 0.5000, 0.5000) [1 per cell]  8 Br 3.63, 4 As 3.64
As (0.0000, 0.0000, 0.5000) [1 per cell]  2 Nb 2.56
Br (0.0000, 0.5000, 0.0000) [2 per cell]  2 Nb 2.57

ΔE_f (raw) = 0.665 eV per atom
DOS at the Fermi energy = 8.7 states/eV/cell
Uncorrected energy = -4.3696 eV/atom
Polymorph energy (0 for the lowest one) = 0.0 meV/atom

---

(7)
PdAu2I | PBE-GGA | optimized geometry

Cell lengths 6.9135, 6.9135, 6.9135 Å; angles 90.00, 90.00, 90.00 degrees
Last column: nearest neighbours and their distance in Å.
Space group Fm-3m (No. 225)
Asymmetric unit:
Pd (0.0000, 0.0000, 0.0000) [4 per cell]  8 Au 2.99
Au (0.2500, 0.2500, 0.2500) [8 per cell]  4 I 2.99, 4 Pd 2.99
I (0.0000, 0.0000, 0.5000) [4 per cell]  8 Au 2.99

ΔE_f (raw) = 0.408 eV per atom
DOS at the Fermi energy = 6.0 states/eV/cell
Uncorrected energy = -2.9168 eV/atom
Polymorph energy (0 for the lowest one) = 108.3 meV/atom

---

(8)
CsZnF4 | PBE-GGA | optimized geometry

Cell lengths 13.8421, 5.7494, 5.6835 Å; angles 90.00, 113.27, 90.00 degrees
Last column: nearest neighbours and their distance in Å.
Space group C2/c (No. 15)
Asymmetric unit:
Cs (0.0000, 0.2329, 0.2500) [4 per cell]  8 F 3.02-3.30
Zn (0.2500, 0.2500, 0.0000) [4 per cell]  4 F 1.89-1.94
F (0.1031, 0.2934, 0.8457) [8 per cell]  1 Zn 1.89
F (0.2277, 0.0276, 0.2314) [8 per cell]  2 Zn 1.94-2.15

ΔE_f (raw) = -2.128 eV per atom
DOS at the Fermi energy = 8.6 states/eV/cell
Uncorrected energy = -3.7305 eV/atom

---

(9)
ScMoIr2 | PBE-GGA | optimized geometry

Cell lengths 5.8388, 7.4920, 2.9008 Å; angles 90.00, 90.00, 90.00 degrees
Last column: nearest neighbours and their distance in Å.
Space group Cmmm (No. 65)
Asymmetric unit:
Sc (0.0000, 0.0000, 0.0000) [2 per cell]  8 Ir 2.78, 2 Sc 2.90, 2 Mo 2.92
Mo (0.0000, 0.5000, 0.0000) [2 per cell]  8 Ir 2.78, 2 Mo 2.90, 2 Sc 2.92
Ir (0.2500, 0.2500, 0.5000) [4 per cell]  4 Mo 2.78, 4 Sc 2.78, 4 Ir 2.90-2.92

ΔE_f = -464 meV per atom
DOS at the Fermi energy = 7.6 states/eV/cell
Uncorrected energy = -9.1853 eV/atom
Polymorph energy (0 for the lowest one) = 54.6 meV/atom

---

(10)
La4Sm4Er | PBE-GGA | optimized geometry

Cell lengths 10.9678, 10.9678, 5.2080 Å; angles 90.00, 90.00, 90.00 degrees
Last column: nearest neighbours and their distance in Å.
Space group I4/mmm (No. 139)
Asymmetric unit:
La (0.1663, 0.1663, 0.0000) [8 per cell]  4 La 3.65-3.68, 6 Sm 3.66-3.67, 2 Er 3.67
Sm (0.0000, 0.3341, 0.5000) [8 per cell]  5 Sm 3.64-3.66, 6 La 3.66-3.67, 1 Er 3.66
Er (0.0000, 0.0000, 0.5000) [2 per cell]  4 Sm 3.66, 8 La 3.67

ΔE_f = 21 meV per atom
DOS at the Fermi energy = 28.2 states/eV/cell
Uncorrected energy = -4.7737 eV/atom
Polymorph energy (0 for the lowest one) = 0.0 meV/atom

---

(11)
Pa4As2IrSe | PBE-GGA | optimized geometry

Cell lengths 7.1343, 3.9646, 7.1705 Å; angles 90.00, 108.64, 90.00 degrees
Last column: nearest neighbours and their distance in Å.
Space group P2/m (No. 10)
Asymmetric unit:
Pa (0.2342, 0.0000, 0.2365) [2 per cell]  2 Ir 2.79, 3 As 2.89-2.97, 1 Se 2.92
Pa (0.2439, 0.5000, 0.7531) [2 per cell]  1 Ir 2.85, 3 As 2.87-2.96, 2 Se 2.89
As (0.0000, 0.0000, 0.5000) [1 per cell]  6 Pa 2.87-2.89
As (0.5000, 0.5000, 0.5000) [1 per cell]  6 Pa 2.96-2.97
Ir (0.0000, 0.5000, 0.0000) [1 per cell]  6 Pa 2.79-2.85
Se (0.5000, 0.0000, 0.0000) [1 per cell]  6 Pa 2.89-2.92

ΔE_f (raw) = -1.009 eV per atom
DOS at the Fermi energy = 12.6 states/eV/cell
Uncorrected energy = -8.4621 eV/atom

---

(12)
Tb2SmMg2In2 | PBE-GGA | optimized geometry

Cell lengths 5.0232, 5.0232, 26.3396 Å; angles 90.00, 90.00, 120.00 degrees
Last column: nearest neighbours and their distance in Å.
Space group R-3m (No. 166, hexagonal axes)
Asymmetric unit:
Tb (0.0000, 0.0000, 0.1293) [6 per cell]  3 In 3.29, 4 Mg 3.33-3.60, 1 Sm 3.41, 3 Tb 3.50
Sm (0.0000, 0.0000, 0.0000) [3 per cell]  6 Mg 3.40, 2 Tb 3.41, 6 In 3.44
Mg (0.0000, 0.0000, 0.2661) [6 per cell]  3 In 2.90
In (0.0000, 0.0000, 0.4038) [6 per cell]  3 Mg 2.90

ΔE_f = -190 meV per atom
DOS at the Fermi energy = 15.2 states/eV/cell
Uncorrected energy = -3.4252 eV/atom

---

(13)
ZnH3Se | PBE-GGA | optimized geometry

Cell lengths 3.8320, 3.8320, 3.8320 Å; angles 90.00, 90.00, 90.00 degrees
Last column: nearest neighbours and their distance in Å.
Space group Pm-3m (No. 221)
Asymmetric unit:
Zn (0.0000, 0.0000, 0.0000) [1 per cell]  12 H 2.71
H (0.0000, 0.5000, 0.5000) [3 per cell]  2 Se 1.92
Se (0.5000, 0.5000, 0.5000) [1 per cell]  6 H 1.92

DOS at the Fermi energy = 0.9 states/eV/cell
Uncorrected energy = -2.3395 eV/atom
Polymorph energy (0 for the lowest one) = 0.0 meV/atom

---

(14)
PmDyCu | PBE-GGA | optimized geometry

Cell lengths 5.4620, 3.7434, 7.9437 Å; angles 90.00, 100.62, 90.00 degrees
Last column: nearest neighbours and their distance in Å.
Space group P2_1/m (No. 11)
Asymmetric unit:
Pm (0.2102, 0.2500, 0.3710) [2 per cell]  3 Cu 3.15-3.51
Dy (0.3353, 0.2500, 0.8271) [2 per cell]  4 Cu 2.86-2.95
Cu (0.1404, 0.7500, 0.0462) [2 per cell]  2 Cu 2.45

ΔE_f = -66 meV per atom
DOS at the Fermi energy = 6.5 states/eV/cell
Uncorrected energy = -4.5486 eV/atom
Polymorph energy (0 for the lowest one) = 44.9 meV/atom

---

(15)
DyErPdAu | PBE-GGA | optimized geometry

Cell lengths 4.6533, 3.7229, 10.6094 Å; angles 90.00, 90.00, 90.00 degrees
Last column: nearest neighbours and their distance in Å.
Space group Amm2 (No. 38)
Asymmetric unit:
Dy (0.0000, 0.0000, 0.0000) [2 per cell]  3 Pd 2.89-3.05, 4 Au 3.03
Er (0.5000, 0.0000, 0.7235) [2 per cell]  3 Au 2.94-3.01, 4 Pd 3.03
Pd (0.0000, 0.0000, 0.2728) [2 per cell]  3 Dy 2.89-3.05, 2 Au 2.97, 4 Er 3.03
Au (0.5000, 0.0000, 0.4460) [2 per cell]  3 Er 2.94-3.01, 2 Pd 2.97, 4 Dy 3.03

ΔE_f = -919 meV per atom
DOS at the Fermi energy = 3.9 states/eV/cell
Uncorrected energy = -5.3279 eV/atom
Polymorph energy (0 for the lowest one) = 0.0 meV/atom

---

(16)
Ac2Ge4Os | PBE-GGA | optimized geometry

Cell lengths 6.0234, 6.0234, 9.8977 Å; angles 90.00, 90.00, 90.00 degrees
Last column: nearest neighbours and their distance in Å.
Space group I4/mmm (No. 139)
Asymmetric unit:
Ac (0.0000, 0.5000, 0.2500) [4 per cell]  8 Ge 3.28
Ge (0.2110, 0.2110, 0.0000) [8 per cell]  1 Os 2.46, 2 Ge 2.54
Os (0.0000, 0.0000, 0.5000) [2 per cell]  4 Ge 2.46

ΔE_f = -306 meV per atom
DOS at the Fermi energy = 8.1 states/eV/cell
Uncorrected energy = -5.7224 eV/atom
Polymorph energy (0 for the lowest one) = 12.4 meV/atom

---

(17)
Pm5CdHg6 | PBE-GGA | optimized geometry

Cell lengths 5.2476, 7.6273, 16.1283 Å; angles 90.00, 90.00, 90.00 degrees
Last column: nearest neighbours and their distance in Å.
Space group Immm (No. 71)
Asymmetric unit:
Pm (0.0000, 0.0000, 0.0000) [2 per cell]  8 Hg 3.22-3.26
Pm (0.0000, 0.0000, 0.3452) [4 per cell]  8 Hg 3.17-3.50
Pm (0.0000, 0.5000, 0.3263) [4 per cell]  8 Hg 3.24-3.36
Cd (0.0000, 0.5000, 0.0000) [2 per cell]  8 Hg 3.25-3.27, 4 Pm 3.62
Hg (0.0000, 0.2508, 0.1635) [8 per cell]  7 Pm 3.24-3.50, 1 Cd 3.25
Hg (0.0000, 0.2563, 0.5000) [4 per cell]  6 Pm 3.17-3.36, 2 Cd 3.27

ΔE_f = -436 meV per atom
DOS at the Fermi energy = 22.6 states/eV/cell
Uncorrected energy = -2.6424 eV/atom

---

(18)
Sc3Zn4In | PBE-GGA | optimized geometry

Cell lengths 3.1250, 5.7705, 17.8613 Å; angles 90.00, 90.00, 90.00 degrees
Last column: nearest neighbours and their distance in Å.
Space group Immm (No. 71)
Asymmetric unit:
Sc (0.0000, 0.0000, 0.0000) [2 per cell]  8 Zn 3.04, 2 Sc 3.13, 4 In 3.28
Sc (0.0000, 0.5000, 0.2327) [4 per cell]  6 Zn 2.83-2.92, 2 Sc 3.13
Zn (0.0000, 0.2752, 0.3734) [8 per cell]  1 Zn 2.59, 1 In 2.76, 1 Sc 2.83
In (0.0000, 0.0000, 0.5000) [2 per cell]  4 Zn 2.76

ΔE_f = -161 meV per atom
DOS at the Fermi energy = 14.6 states/eV/cell
Uncorrected energy = -3.5150 eV/atom

---

(19)
TmPaPb6 | PBE-GGA | optimized geometry

Cell lengths 4.8289, 4.8289, 9.7155 Å; angles 90.00, 90.00, 90.00 degrees
Last column: nearest neighbours and their distance in Å.
Space group P4/mmm (No. 123)
Asymmetric unit:
Tm (0.0000, 0.0000, 0.0000) [1 per cell]  12 Pb 3.41-3.42
Pa (0.0000, 0.0000, 0.5000) [1 per cell]  12 Pb 3.41-3.43
Pb (0.0000, 0.5000, 0.2493) [4 per cell]  8 Pb 3.41-3.43, 2 Tm 3.42, 2 Pa 3.43
Pb (0.5000, 0.5000, 0.0000) [1 per cell]  4 Tm 3.41, 8 Pb 3.42
Pb (0.5000, 0.5000, 0.5000) [1 per cell]  4 Pa 3.41, 8 Pb 3.43

ΔE_f = -97 meV per atom
DOS at the Fermi energy = 8.2 states/eV/cell
Uncorrected energy = -4.6243 eV/atom

---

(20)
ZrAlRh2Au | PBE-GGA | optimized geometry

Cell lengths 4.9579, 4.9579, 4.4146 Å; angles 90.00, 90.00, 90.00 degrees
Last column: nearest neighbours and their distance in Å.
Space group P4/mmm (No. 123)
Asymmetric unit:
Zr (0.0000, 0.0000, 0.0000) [1 per cell]  8 Rh 3.32, 4 Al 3.51
Al (0.5000, 0.5000, 0.0000) [1 per cell]  2 Au 2.21
Rh (0.0000, 0.5000, 0.5000) [2 per cell]  2 Au 2.48
Au (0.5000, 0.5000, 0.5000) [1 per cell]  2 Al 2.21

ΔE_f = 776 meV per atom
DOS at the Fermi energy = 4.6 states/eV/cell
Uncorrected energy = -5.2782 eV/atom
Polymorph energy (0 for the lowest one) = 0.0 meV/atom